Record 1
VASP calculation (GGA-PBE) on a geometry-optimized Pu2Th2CuSi4 structure.

POSCAR file:
```
Pu2Th2CuSi4
1.0
-5.8741 0.6735 -2.4261
0.3041 -2.8952 5.6894
2.9500 5.4398 1.5971
Si Pu Th Cu
4 2 2 1
Cartesian
-2.0092 0.9205 0.5758 Si
0.9299 -0.9237 4.7214 Si
-0.6108 2.2976 4.2846 Si
2.3241 3.4682 2.5651 Si
1.0660 0.8336 2.3870 Pu
2.1881 1.7110 4.8996 Pu
-1.9715 -0.4747 3.4533 Th
-0.6485 3.6928 1.4071 Th
0.0000 0.0000 0.0000 Cu
```

Calculated values
energy relative to the elements, uncorrected: -0.2288 eV/atom
E_tot: -7.9279 eV/atom
calculated volume: 21.7 Å³/atom



Record 2
VASP calculation (GGA-PBE) on a geometry-optimized Na3Ac3NbSe8 structure.

POSCAR file:
```
Na3Ac3NbSe8
1.0
8.7492 0.0000 0.0000
-4.3746 7.5761 -0.0269
0.0000 -5.0284 7.0742
Se Nb Ac Na
8 1 3 3
Cartesian
4.3746 0.0172 5.2965 Se
0.0000 2.5304 1.7508 Se
2.4625 6.1603 1.9486 Se
1.9121 -3.6126 5.0987 Se
0.0000 -0.3010 5.0870 Se
6.8371 -3.6126 5.0987 Se
-2.4625 6.1603 1.9486 Se
4.3746 2.8487 1.9603 Se
0.0000 -2.5142 3.5371 Nb
4.3746 -2.5142 3.5371 Ac
2.1873 1.2738 3.5236 Ac
-2.1873 1.2738 3.5236 Ac
0.0000 0.0000 0.0000 Na
2.1873 3.7880 -0.0134 Na
-2.1873 3.7880 -0.0134 Na
```

Calculated values
energy relative to the elements, uncorrected: -1.4648 eV/atom
E_tot: -5.0800 eV/atom
calculated volume: 31.2 Å³/atom



Record 3
VASP calculation (GGA-PBE) on a geometry-optimized Li4AsCl structure.

POSCAR file:
```
Li4AsCl
1.0
0.0000 3.7308 3.7308
3.7308 0.0000 3.7308
3.7308 3.7308 0.0000
Li As Cl
4 1 1
Cartesian
4.6340 2.8275 4.6340 Li
2.8275 4.6340 4.6340 Li
2.8275 2.8275 2.8275 Li
4.6340 4.6340 2.8275 Li
5.5962 5.5962 5.5962 As
0.0000 0.0000 0.0000 Cl
```

Calculated values
energy relative to the elements, uncorrected: -0.2309 eV/atom
E_tot: -2.5895 eV/atom
calculated volume: 17.3 Å³/atom



Record 4
VASP calculation (GGA-PBE) on a geometry-optimized CdCu2Pd6 structure.

POSCAR file:
```
CdCu2Pd6
1.0
3.9473 0.0000 0.1808
0.0000 8.3262 0.0000
-0.3813 0.0000 8.3184
Pd Cu Cd
12 4 2
Cartesian
3.6290 5.5424 7.1231 Pd
1.7190 4.1463 5.6451 Pd
-0.1897 2.7664 4.1407 Pd
1.5933 1.3968 8.3903 Pd
1.8460 6.9469 2.8735 Pd
1.9727 6.9294 0.1090 Pd
3.8833 0.0168 1.5764 Pd
-0.0630 2.7838 1.3762 Pd
-0.3173 8.3094 6.9229 Pd
3.7557 5.5598 4.3586 Pd
1.8470 4.1798 2.8541 Pd
1.7200 1.3793 5.6257 Pd
3.8802 5.6223 1.6410 Cu
-0.3143 2.7039 6.8582 Cu
1.8501 1.4593 2.7896 Cu
1.7159 6.8669 5.7097 Cu
1.9737 4.1631 0.0904 Cd
-0.1907 0.0000 4.1592 Cd
```

Calculated values
energy of formation from the pure elements: -0.14 eV per atom
E_tot: -4.6145 eV/atom
calculated volume: 15.2 Å³/atom